{"formula": "Rb2LiMoO4", "functional": "PBE with a Hubbard U", "state": "relaxed", "cell": [[-0.941, 0.219, 5.177], [-4.453, -4.706, 2.069], [7.281, -6.485, 4.277]], "species": ["Rb", "Li", "O", "Rb", "Mo", "O", "O", "O", "Rb", "O", "O", "Li", "O", "O", "Rb", "Mo"], "fractional_positions": [[0.572, 0.500, 0.857], [0.500, 0.000, 0.000], [0.111, 0.319, 0.416], [0.178, 0.000, 0.643], [0.750, 0.500, 0.500], [0.639, 0.181, 0.084], [0.846, 0.681, 0.584], [0.570, 0.319, 0.584], [0.822, 0.000, 0.357], [0.473, 0.681, 0.416], [0.180, 0.181, 0.916], [0.250, 0.500, 0.500], [0.277, 0.819, 0.084], [0.904, 0.819, 0.916], [0.928, 0.500, 0.143], [0.000, 0.000, 0.000]], "density_g_cm3": 3.29, "crystal_system": "orthorhombic", "final_energy_ev_per_atom": -5.52}